*P*
# CoRe2 (PBE, relaxed)
# Crystal system: hexagonal
# Calculated volume, Å³/atom: 15.15
# Total magnetic moment, μB/cell: 0.0
data_CoRe2
_chemical_formula_sum 'Co4 Re8'
_cell_length_a 5.0935
_cell_length_b 5.0935
_cell_length_c 8.0926
_cell_angle_alpha 90.00
_cell_angle_beta 90.00
_cell_angle_gamma 120.00
_space_group_name_H-M_alt 'P 63/m m c'
_space_group_IT_number 194
_space_group_name_Hall '-P 6c 2c'
loop_
_atom_site_label
_atom_site_fract_x
_atom_site_fract_y
_atom_site_fract_z
Co1 0.3333 0.6667 0.0894
Re1 0.0000 0.0000 0.0000
Re2 0.1745 0.3490 0.7500

***

*Q*
# CoRe2 (PBE, relaxed)
# Crystal system: tetragonal
# Calculated volume, Å³/atom: 13.74
# Total magnetic moment, μB/cell: 9.2
data_CoRe2
_chemical_formula_sum 'Co10 Re20'
_cell_length_a 9.314
_cell_length_b 9.314
_cell_length_c 4.753
_cell_angle_alpha 90.00
_cell_angle_beta 90.00
_cell_angle_gamma 90.00
_space_group_name_H-M_alt 'P 42/m n m'
_space_group_IT_number 136
_space_group_name_Hall '-P 4n 2n'
loop_
_atom_site_label
_atom_site_fract_x
_atom_site_fract_y
_atom_site_fract_z
Co1 0.000 0.000 0.000
Co2 0.180 0.180 0.249
Re1 0.031 0.637 0.500
Re2 0.063 0.743 0.000
Re3 0.096 0.904 0.500

***

*R*
# CoRe2 (PBE, relaxed)
# Crystal system: orthorhombic
# Calculated volume, Å³/atom: 13.43
# Total magnetic moment, μB/cell: 1.2
data_CoRe2
_chemical_formula_sum 'Co8 Re16'
_cell_length_a 4.763
_cell_length_b 8.520
_cell_length_c 7.945
_cell_angle_alpha 90.00
_cell_angle_beta 90.00
_cell_angle_gamma 90.00
_space_group_name_H-M_alt 'C m c m'
_space_group_IT_number 63
_space_group_name_Hall '-C 2c 2'
loop_
_atom_site_label
_atom_site_fract_x
_atom_site_fract_y
_atom_site_fract_z
Co1 0.243 0.081 0.250
Re1 0.000 0.161 0.573
Re2 0.000 0.316 0.250
Re3 0.000 0.500 0.000

***

How do the energies compare? Relative to the most stable structure, in meV/atom: *P* 526; *Q* 0; *R* 16.

***

*P*
# Co5Re7 (PBE, relaxed)
# Crystal system: hexagonal
# Calculated volume, Å³/atom: 13.32
# Total magnetic moment, μB/cell: 14.6
data_Co5Re7
_chemical_formula_sum 'Co10 Re14'
_cell_length_a 4.9123
_cell_length_b 4.9123
_cell_length_c 15.2922
_cell_angle_alpha 90.00
_cell_angle_beta 90.00
_cell_angle_gamma 120.00
_space_group_name_H-M_alt 'P 63/m m c'
_space_group_IT_number 194
_space_group_name_Hall '-P 6c 2c'
loop_
_atom_site_label
_atom_site_fract_x
_atom_site_fract_y
_atom_site_fract_z
Co1 0.1569 0.3138 0.2500
Co2 0.3333 0.6667 0.1350
Re1 0.0000 0.0000 0.0948
Re2 0.0000 0.5000 0.0000
Re3 0.3333 0.6667 0.6635

***

*Q*
# Co5Re7 (PBE, relaxed)
# Crystal system: hexagonal
# Calculated volume, Å³/atom: 14.02
# Total magnetic moment, μB/cell: 12.9
data_Co5Re7
_chemical_formula_sum 'Co10 Re14'
_cell_length_a 4.9188
_cell_length_b 4.9188
_cell_length_c 16.0593
_cell_angle_alpha 90.00
_cell_angle_beta 90.00
_cell_angle_gamma 120.00
_space_group_name_H-M_alt 'P 63/m m c'
_space_group_IT_number 194
_space_group_name_Hall '-P 6c 2c'
loop_
_atom_site_label
_atom_site_fract_x
_atom_site_fract_y
_atom_site_fract_z
Co1 0.0000 0.5000 0.0000
Co2 0.3333 0.6667 0.1539
Re1 0.0000 0.0000 0.0825
Re2 0.1620 0.3240 0.7500
Re3 0.3333 0.6667 0.6204

***

*R*
# Co5Re7 (PBE, relaxed)
# Crystal system: hexagonal
# Calculated volume, Å³/atom: 13.16
# Total magnetic moment, μB/cell: 9.6
data_Co5Re7
_chemical_formula_sum 'Co10 Re14'
_cell_length_a 4.8403
_cell_length_b 4.8403
_cell_length_c 15.5642
_cell_angle_alpha 90.00
_cell_angle_beta 90.00
_cell_angle_gamma 120.00
_space_group_name_H-M_alt 'P 63/m m c'
_space_group_IT_number 194
_space_group_name_Hall '-P 6c 2c'
loop_
_atom_site_label
_atom_site_fract_x
_atom_site_fract_y
_atom_site_fract_z
Co1 0.0000 0.5000 0.0000
Co2 0.3333 0.6667 0.1205
Re1 0.0000 0.0000 0.0826
Re2 0.1645 0.3290 0.2500
Re3 0.3333 0.6667 0.6484

***

How do the energies compare? Relative to the most stable structure, in meV/atom: *P* 0; *Q* 181; *R* 19.

***

*P*
# Co11Re4 (PBE, relaxed)
# Crystal system: tetragonal
# Calculated volume, Å³/atom: 11.90
# Total magnetic moment, μB/cell: 14.9
data_Co11Re4
_chemical_formula_sum 'Co22 Re8'
_cell_length_a 8.883
_cell_length_b 8.883
_cell_length_c 4.522
_cell_angle_alpha 90.00
_cell_angle_beta 90.00
_cell_angle_gamma 90.00
_space_group_name_H-M_alt 'P 42/m n m'
_space_group_IT_number 136
_space_group_name_Hall '-P 4n 2n'
loop_
_atom_site_label
_atom_site_fract_x
_atom_site_fract_y
_atom_site_fract_z
Co1 0.000 0.000 0.000
Co2 0.033 0.368 0.500
Co3 0.096 0.096 0.500
Co4 0.174 0.826 0.251
Re1 0.066 0.266 0.000

***

*Q*
# Co11Re4 (PBE, relaxed)
# Crystal system: tetragonal
# Calculated volume, Å³/atom: 11.79
# Total magnetic moment, μB/cell: 28.2
data_Co11Re4
_chemical_formula_sum 'Co22 Re8'
_cell_length_a 8.805
_cell_length_b 8.805
_cell_length_c 4.560
_cell_angle_alpha 90.00
_cell_angle_beta 90.00
_cell_angle_gamma 90.00
_space_group_name_H-M_alt 'P 42/m n m'
_space_group_IT_number 136
_space_group_name_Hall '-P 4n 2n'
loop_
_atom_site_label
_atom_site_fract_x
_atom_site_fract_y
_atom_site_fract_z
Co1 0.000 0.000 0.000
Co2 0.067 0.253 0.000
Co3 0.093 0.093 0.500
Co4 0.181 0.819 0.251
Re1 0.037 0.363 0.500

***

How do the energies compare? Relative to the most stable structure, in meV/atom: *P* 54; *Q* 0.

***

*P*
# Co17Re12 (PBE, relaxed)
# Crystal system: cubic
# Calculated volume, Å³/atom: 12.47
# Total magnetic moment, μB/cell: 29.1
data_Co17Re12
_chemical_formula_sum 'Co34 Re24'
_cell_length_a 8.975
_cell_length_b 8.975
_cell_length_c 8.975
_cell_angle_alpha 90.00
_cell_angle_beta 90.00
_cell_angle_gamma 90.00
_space_group_name_H-M_alt 'I -4 3 m'
_space_group_IT_number 217
_space_group_name_Hall 'I -4 2 3'
loop_
_atom_site_label
_atom_site_fract_x
_atom_site_fract_y
_atom_site_fract_z
Co1 0.000 0.000 0.000
Co2 0.090 0.090 0.723
Co3 0.174 0.174 0.174
Re1 0.048 0.356 0.644

***

*Q*
# Co17Re12 (PBE, relaxed)
# Crystal system: cubic
# Calculated volume, Å³/atom: 12.78
# Total magnetic moment, μB/cell: 12.4
data_Co17Re12
_chemical_formula_sum 'Co34 Re24'
_cell_length_a 9.050
_cell_length_b 9.050
_cell_length_c 9.050
_cell_angle_alpha 90.00
_cell_angle_beta 90.00
_cell_angle_gamma 90.00
_space_group_name_H-M_alt 'I -4 3 m'
_space_group_IT_number 217
_space_group_name_Hall 'I -4 2 3'
loop_
_atom_site_label
_atom_site_fract_x
_atom_site_fract_y
_atom_site_fract_z
Co1 0.000 0.000 0.000
Co2 0.043 0.357 0.643
Co3 0.167 0.167 0.167
Re1 0.094 0.094 0.708

***

How do the energies compare? Relative to the most stable structure, in meV/atom: *P* 0; *Q* 10.